4
Lattice="0.000 3.094 3.094 3.094 0.000 3.094 3.094 3.094 0.000" Properties=species:S:1:pos:R:3 comment="MnRe2Br GGA-PBE optimized geometry" magnetic_moment_mub_per_cell=2.1 total_energy_ry_per_atom=-0.576 polymorph_energy_mev_per_atom=704 formation_energy_uncorrected_ev_per_atom=1.0989 pbc="T T T"
Br 3.094 3.094 3.094
Re 4.641 4.641 4.641
Re 1.547 1.547 1.547
Mn 0.000 0.000 0.000

4
Lattice="-1.075 0.111 -5.224 2.703 -2.356 -0.606 -2.320 -2.769 0.419" Properties=species:S:1:pos:R:3 comment="MnRe2Br GGA-PBE optimized geometry" magnetic_moment_mub_per_cell=3.2 total_energy_ry_per_atom=-0.562 polymorph_energy_mev_per_atom=890 formation_energy_uncorrected_ev_per_atom=1.2855 pbc="T T T"
Mn -1.697 -1.329 -2.403
Br 0.814 -1.123 -2.915
Re 0.192 -2.562 -0.094
Re 0.000 0.000 0.000

4
Lattice="4.718 0.017 0.000 1.143 4.577 0.000 -2.931 -2.297 2.897" Properties=species:S:1:pos:R:3 comment="Mn2ReBr GGA-PBE optimized geometry" magnetic_moment_mub_per_cell=5.9 total_energy_ry_per_atom=-0.519 polymorph_energy_mev_per_atom=724 formation_energy_uncorrected_ev_per_atom=1.0534 pbc="T T T"
Re 0.572 2.289 1.449
Mn 0.000 0.000 0.000
Br 2.359 0.008 1.449
Mn 2.931 2.297 0.000

4
Lattice="-0.927 0.312 5.126 -4.773 -1.213 1.728 4.303 -1.591 -2.487" Properties=species:S:1:pos:R:3 comment="MnRe2Br GGA-PBE optimized geometry" magnetic_moment_mub_per_cell=1.7 total_energy_ry_per_atom=-0.584 polymorph_energy_mev_per_atom=591 formation_energy_uncorrected_ev_per_atom=0.9861 pbc="T T T"
Mn -1.747 -1.641 1.439
Re -5.687 -0.899 6.840
Br -2.833 -0.448 3.407
Re 0.321 -0.856 2.963

4
Lattice="4.351 0.000 0.000 0.000 2.987 0.393 0.000 0.842 5.200" Properties=species:S:1:pos:R:3 comment="Mn2ReBr GGA-PBE optimized geometry" magnetic_moment_mub_per_cell=5.9 total_energy_ry_per_atom=-0.544 polymorph_energy_mev_per_atom=378 formation_energy_uncorrected_ev_per_atom=0.7074 pbc="T T T"
Re 0.000 2.157 2.389
Mn 0.000 0.919 0.250
Br 2.175 1.929 4.132
Mn 2.175 0.739 1.618

5
Lattice="-4.265 1.468 -0.508 -0.593 -2.910 -3.432 -1.436 -3.159 2.926" Properties=species:S:1:pos:R:3 comment="MnRe3Br GGA-PBE optimized geometry" magnetic_moment_mub_per_cell=3.0 total_energy_ry_per_atom=-0.541 polymorph_energy_mev_per_atom=259 formation_energy_uncorrected_ev_per_atom=2.2832 pbc="T T T"
Re -2.132 0.734 -0.254
Mn -3.147 -2.300 -0.507
Br 0.000 0.000 0.000
Re -0.718 -1.579 1.463
Re -0.296 -1.455 -1.716

4
Lattice="4.862 0.030 0.000 -2.128 4.372 0.000 0.000 0.000 2.946" Properties=species:S:1:pos:R:3 comment="MnRe2Br GGA-PBE optimized geometry" magnetic_moment_mub_per_cell=2.6 total_energy_ry_per_atom=-0.568 polymorph_energy_mev_per_atom=816 formation_energy_uncorrected_ev_per_atom=1.2110 pbc="T T T"
Re 1.367 2.201 0.000
Br 2.431 0.015 1.473
Re 0.000 0.000 0.000
Mn -1.064 2.186 1.473

4
Lattice="0.000 3.135 3.135 3.135 0.000 3.135 3.135 3.135 0.000" Properties=species:S:1:pos:R:3 comment="Mn2ReBr GGA-PBE optimized geometry" magnetic_moment_mub_per_cell=4.7 total_energy_ry_per_atom=-0.515 polymorph_energy_mev_per_atom=773 formation_energy_uncorrected_ev_per_atom=1.1022 pbc="T T T"
Br 0.000 0.000 0.000
Re 3.135 3.135 3.135
Mn 4.702 4.702 4.702
Mn 1.567 1.567 1.567

4
Lattice="-2.840 0.259 1.093 -0.997 -1.997 -2.118 1.320 -5.808 4.808" Properties=species:S:1:pos:R:3 comment="MnRe2Br GGA-PBE optimized geometry" magnetic_moment_mub_per_cell=4.1 total_energy_ry_per_atom=-0.628 polymorph_energy_mev_per_atom=0 formation_energy_uncorrected_ev_per_atom=0.3952 pbc="T T T"
Re 0.020 -0.098 0.075
Br 0.162 -3.870 1.339
Mn -0.884 -5.448 3.262
Re -1.654 -2.032 0.451

6
Lattice="-1.796 -4.376 -2.294 -2.232 -3.767 2.910 -5.176 -0.859 -0.334" Properties=species:S:1:pos:R:3 comment="MnRe4Br GGA-PBE optimized geometry" magnetic_moment_mub_per_cell=3.4 total_energy_ry_per_atom=-0.662 formation_energy_uncorrected_ev_per_atom=1.1050 pbc="T T T"
Re -4.568 -5.259 1.561
Re -3.451 -3.376 0.106
Re -6.040 -3.805 -0.061
Re -4.349 -5.564 -1.042
Mn 0.000 0.000 0.000
Br -6.903 -6.752 0.211

5
Lattice="4.518 0.000 0.000 0.000 4.518 0.000 0.000 0.000 4.518" Properties=species:S:1:pos:R:3 comment="MnRe3Br GGA-PBE optimized geometry" magnetic_moment_mub_per_cell=1.5 total_energy_ry_per_atom=-0.560 polymorph_energy_mev_per_atom=0 formation_energy_uncorrected_ev_per_atom=2.0239 pbc="T T T"
Mn 0.000 0.000 0.000
Re 0.000 2.259 0.000
Re 2.259 0.000 0.000
Br 2.259 2.259 2.259
Re 0.000 0.000 2.259

4
Lattice="-2.081 0.973 -1.994 0.088 -2.696 -1.407 -5.458 -2.512 4.472" Properties=species:S:1:pos:R:3 comment="MnRe2Br GGA-PBE optimized geometry" magnetic_moment_mub_per_cell=4.1 total_energy_ry_per_atom=-0.619 polymorph_energy_mev_per_atom=112 formation_energy_uncorrected_ev_per_atom=0.5067 pbc="T T T"
Re -2.107 -1.372 -0.791
Re -0.081 -0.037 0.066
Br -2.799 -1.288 2.293
Mn -5.194 -2.793 1.738